<i>
Entry from Alexandria via LeMat-Bulk: a relaxed structure of Li2AcCd (GGA-PBE).

As for the density of states at the Fermi level: 3.3 states/eV per cell. As for the volume: 26.01 Å³/atom.

Cell lengths 3.6954, 3.6954, 7.6175 Å; angles 90.00, 90.00, 90.00 degrees
Positions (direct):
Li1 0.0000 0.0000 0.1822
Li2 0.0000 0.0000 0.8178
Ac1 0.5000 0.5000 0.5000
Cd1 0.5000 0.5000 0.0000


<ii>
Entry from Alexandria via LeMat-Bulk: a relaxed structure of Li2AcCd (GGA-PBE).

As for the density of states at the Fermi level: 3.1 states/eV per cell. As for the volume: 27.60 Å³/atom.

Cell lengths 6.0981, 6.0981, 6.0981 Å; angles 46.88, 46.88, 46.88 degrees
Positions (direct):
Li1 0.0000 0.0000 0.0000
Li2 0.2966 0.2966 0.2966
Ac1 0.4984 0.4984 0.4984
Cd1 0.7055 0.7055 0.7055


Result of the stability comparison: <i> is the least stable of them.


<i>
Entry from Alexandria via LeMat-Bulk: a relaxed structure of Li2AcCd (GGA-PBE).

As for the density of states at the Fermi level: 7.1 states/eV per cell. As for the volume: 26.18 Å³/atom.

Cell lengths 6.3387, 6.3387, 6.8360 Å; angles 90.00, 90.00, 130.32 degrees
Positions (direct):
Li1 0.1247 0.8753 0.5552
Li2 0.1247 0.8753 0.9448
Li3 0.8753 0.1247 0.0552
Li4 0.8753 0.1247 0.4448
Ac1 0.4060 0.5940 0.7500
Ac2 0.5940 0.4060 0.2500
Cd1 0.2988 0.7012 0.2500
Cd2 0.7012 0.2988 0.7500


<ii>
Entry from Alexandria via LeMat-Bulk: a relaxed structure of Li2AcCd (GGA-PBE).

As for the density of states at the Fermi level: 3.7 states/eV per cell. As for the volume: 28.19 Å³/atom.

Cell lengths 5.0630, 5.0630, 4.3996 Å; angles 90.00, 90.00, 90.00 degrees
Positions (direct):
Li1 0.0000 0.5000 0.0000
Li2 0.5000 0.0000 0.0000
Ac1 0.0000 0.0000 0.5000
Cd1 0.5000 0.5000 0.5000


Result of the stability comparison: <ii> is the least stable of them.


<i>
Entry from Alexandria via LeMat-Bulk: a relaxed structure of LiAc2Cd3 (GGA-PBE).

As for the density of states at the Fermi level: 9.1 states/eV per cell. As for the volume: 29.39 Å³/atom.

Cell lengths 10.3852, 9.7466, 6.4263 Å; angles 76.88, 66.06, 37.06 degrees
Positions (direct):
Li1 0.1666 0.1666 0.8334
Li2 0.8334 0.8334 0.1666
Ac1 0.2500 0.2500 0.2500
Ac2 0.2537 0.7463 0.7463
Ac3 0.7463 0.2537 0.2537
Ac4 0.7500 0.7500 0.7500
Cd1 0.1591 0.6713 0.3287
Cd2 0.3287 0.8409 0.1591
Cd3 0.3303 0.3303 0.6697
Cd4 0.6697 0.6697 0.3303
Cd5 0.6713 0.1591 0.8409
Cd6 0.8409 0.3287 0.6713


<ii>
Entry from Alexandria via LeMat-Bulk: a relaxed structure of LiAc2Cd3 (GGA-PBE).

As for the density of states at the Fermi level: 5.4 states/eV per cell. As for the volume: 29.40 Å³/atom.

Cell lengths 3.7492, 5.2109, 9.0280 Å; angles 90.00, 90.00, 90.00 degrees
Positions (direct):
Li1 0.0000 0.0000 0.0000
Ac1 0.5000 0.0000 0.6642
Ac2 0.5000 0.5000 0.1724
Cd1 0.0000 0.0000 0.3262
Cd2 0.0000 0.5000 0.5042
Cd3 0.0000 0.5000 0.8424


Result of the stability comparison: <ii> is the least stable of them.


<i>
Entry from Alexandria via LeMat-Bulk: a relaxed structure of LiAcCd (GGA-PBE).

As for the density of states at the Fermi level: 5.5 states/eV per cell. As for the volume: 32.09 Å³/atom.

Cell lengths 3.7871, 3.7871, 15.8225 Å; angles 97.17, 97.17, 59.03 degrees
Positions (direct):
Li1 0.1384 0.1384 0.4304
Li2 0.8616 0.8616 0.5696
Ac1 0.2542 0.2542 0.7590
Ac2 0.7458 0.7458 0.2410
Cd1 0.3585 0.3585 0.0671
Cd2 0.6415 0.6415 0.9329


<ii>
Entry from Alexandria via LeMat-Bulk: a relaxed structure of LiAcCd (GGA-PBE).

As for the density of states at the Fermi level: 2.2 states/eV per cell. As for the volume: 29.06 Å³/atom.

Cell lengths 5.1879, 5.1879, 3.7399 Å; angles 90.00, 90.00, 120.00 degrees
Positions (direct):
Li1 0.0000 0.0000 0.0000
Ac1 0.6667 0.3333 0.5000
Cd1 0.3333 0.6667 0.0000


Result of the stability comparison: <i> is the least stable of them.


<i>
Entry from Alexandria via LeMat-Bulk: a relaxed structure of LiAcCd (GGA-PBE).

As for the density of states at the Fermi level: 2.7 states/eV per cell. As for the volume: 28.99 Å³/atom.

Cell lengths 6.3183, 6.3183, 6.3183 Å; angles 143.93, 143.93, 51.94 degrees
Positions (direct):
Li1 0.0000 0.0000 0.0000
Ac1 0.2976 0.2976 0.0000
Cd1 0.6062 0.6062 0.0000


<ii>
Entry from Alexandria via LeMat-Bulk: a relaxed structure of LiAcCd (GGA-PBE).

As for the density of states at the Fermi level: 14.9 states/eV per cell. As for the volume: 28.77 Å³/atom.

Cell lengths 12.6029, 12.6029, 12.6029 Å; angles 156.26, 47.16, 139.87 degrees
Positions (direct):
Li1 0.0667 0.0000 0.0667
Li2 0.3975 0.0024 0.3951
Li3 0.4406 0.6686 0.7720
Li4 0.6073 0.0024 0.6049
Li5 0.8966 0.6686 0.2280
Li6 0.9333 0.0000 0.9333
Ac1 0.0460 0.3782 0.6678
Ac2 0.1286 0.2945 0.8342
Ac3 0.3746 0.3746 0.0000
Ac4 0.4603 0.2945 0.1658
Ac5 0.7104 0.3782 0.3322
Ac6 0.7930 0.2930 0.5000
Cd1 0.1012 0.6683 0.4329
Cd2 0.2353 0.6683 0.5671
Cd3 0.2670 0.0009 0.2661
Cd4 0.5726 0.6706 0.9020
Cd5 0.7348 0.0009 0.7339
Cd6 0.7686 0.6706 0.0980


<iii>
Entry from Alexandria via LeMat-Bulk: a relaxed structure of LiAcCd (GGA-PBE).

As for the density of states at the Fermi level: 5.7 states/eV per cell. As for the volume: 28.90 Å³/atom.

Cell lengths 6.2364, 6.2364, 7.9436 Å; angles 127.49, 127.49, 49.03 degrees
Positions (direct):
Li1 0.1609 0.1609 0.2383
Li2 0.8391 0.8391 0.7617
Ac1 0.4494 0.4494 0.2108
Ac2 0.5506 0.5506 0.7892
Cd1 0.1785 0.1785 0.6254
Cd2 0.8215 0.8215 0.3746


Result of the stability comparison: <i> is the least stable of them.


<i>
Entry from Alexandria via LeMat-Bulk: a relaxed structure of Li2AcCd2 (GGA-PBE).

As for the density of states at the Fermi level: 7.8 states/eV per cell. As for the volume: 26.39 Å³/atom.

Cell lengths 4.3548, 4.3548, 13.9172 Å; angles 90.00, 90.00, 90.00 degrees
Positions (direct):
Li1 0.2493 0.2493 0.0000
Li2 0.2493 0.2493 0.5000
Li3 0.7507 0.7507 0.0000
Li4 0.7507 0.7507 0.5000
Ac1 0.2491 0.7509 0.7500
Ac2 0.7509 0.2491 0.2500
Cd1 0.2509 0.7491 0.1346
Cd2 0.2509 0.7491 0.3654
Cd3 0.7491 0.2509 0.6346
Cd4 0.7491 0.2509 0.8654


<ii>
Entry from Alexandria via LeMat-Bulk: a relaxed structure of Li2AcCd2 (GGA-PBE).

As for the density of states at the Fermi level: 5.6 states/eV per cell. As for the volume: 25.52 Å³/atom.

Cell lengths 5.2243, 5.2385, 9.4227 Å; angles 90.00, 98.26, 90.00 degrees
Positions (direct):
Li1 0.1552 0.2500 0.4979
Li2 0.1780 0.7500 0.8606
Li3 0.8220 0.2500 0.1394
Li4 0.8448 0.7500 0.5021
Ac1 0.2760 0.7500 0.2386
Ac2 0.7240 0.2500 0.7614
Cd1 0.2944 0.2500 0.0082
Cd2 0.3702 0.7500 0.6057
Cd3 0.6298 0.2500 0.3943
Cd4 0.7056 0.7500 0.9918


Result of the stability comparison: <i> is the least stable of them.